Record 1
This record from Alexandria describes a geometry-optimized CeBeSi2Pt structure. The functional is PBE-GGA.

Lattice parameters (Å, degrees): 4.028 4.028 5.813 110.27 110.27 90.00
Last column: magnetic moment on the atom in μB.
Sites, in units of the cell vectors:
Ce 0.000 0.000 0.000  0.38
Be 0.750 0.250 0.500  0.00
Si 0.617 0.617 0.235  0.00
Si 0.383 0.383 0.765  0.00
Pt 0.250 0.750 0.500  -0.01

The calculation puts the density of states at the Fermi level at 4.28 states/eV per cell. Its size of the total moment is 0.43 μB per formula unit. The value obtained for the raw formation energy is -3.93 eV/f.u.

---

Record 2
This record from Alexandria describes a geometry-optimized CeBe2SiPt2 structure. The functional is PBE-GGA.

Lattice parameters (Å, degrees): 4.176 4.176 5.576 90.00 90.00 90.00
Last column: magnetic moment on the atom in μB.
Sites, in units of the cell vectors:
Ce 0.000 0.000 0.500  0.49
Be 0.500 0.000 0.000  0.00
Be 0.000 0.500 0.000  0.00
Si 0.000 0.000 0.000  0.01
Pt 0.500 0.500 0.749  -0.01
Pt 0.500 0.500 0.251  -0.01

The calculation puts the density of states at the Fermi level at 5.53 states/eV per cell. Its size of the total moment is 0.58 μB per formula unit. The value obtained for the raw formation energy is -1.95 eV/f.u.

---

Record 3
This record from Alexandria describes a geometry-optimized CeBe2SiPt4 structure. The functional is PBE-GGA.

Lattice parameters (Å, degrees): 4.077 4.077 9.043 76.97 76.97 60.00
Last column: magnetic moment on the atom in μB.
Sites, in units of the cell vectors:
Ce 0.000 0.000 0.000  0.17
Be 0.754 0.754 0.738  0.00
Be 0.246 0.246 0.262  0.00
Si 0.500 0.500 0.500  0.00
Pt 0.405 0.405 0.785  -0.01
Pt 0.865 0.865 0.405  0.00
Pt 0.135 0.135 0.595  0.00
Pt 0.595 0.595 0.215  -0.01

The calculation puts the density of states at the Fermi level at 3.84 states/eV per cell. Its size of the total moment is 0.17 μB per formula unit. The value obtained for the raw formation energy is -6.17 eV/f.u.

---

Record 4
This record from Alexandria describes a geometry-optimized CeBeSiPt6 structure. The functional is PBE-GGA.

Lattice parameters (Å, degrees): 7.728 7.840 7.801 120.17 119.69 90.00
Last column: magnetic moment on the atom in μB.
Sites, in units of the cell vectors:
Ce 0.896 0.646 0.793  0.32
Ce 0.104 0.354 0.207  0.32
Be 0.500 0.000 0.500  0.00
Be 0.000 0.000 0.500  0.00
Si 0.500 0.500 0.000  0.01
Si 0.500 0.000 0.000  0.01
Pt 0.378 0.628 0.757  0.00
Pt 0.856 0.106 0.712  -0.01
Pt 0.873 0.117 0.258  -0.01
Pt 0.385 0.640 0.258  -0.01
Pt 0.385 0.117 0.258  -0.01
Pt 0.873 0.640 0.258  -0.01
Pt 0.622 0.372 0.243  0.00
Pt 0.144 0.894 0.288  -0.01
Pt 0.127 0.883 0.742  -0.01
Pt 0.615 0.360 0.742  -0.01
Pt 0.615 0.883 0.742  -0.01
Pt 0.127 0.360 0.742  -0.01

The calculation puts the density of states at the Fermi level at 11.57 states/eV per cell. Its size of the total moment is 0.36 μB per formula unit. The value obtained for the raw formation energy is -5.20 eV/f.u.

---

Record 5
This record from Alexandria describes a geometry-optimized Ce2BeSi3Pt4 structure. The functional is PBE-GGA.

Lattice parameters (Å, degrees): 4.184 4.184 9.905 90.00 90.00 90.00
Sites, in units of the cell vectors:
Ce 0.500 0.000 0.259
Ce 0.000 0.500 0.741
Be 0.500 0.500 0.500
Si 0.000 0.000 0.500
Si 0.500 0.000 0.864
Si 0.000 0.500 0.136
Pt 0.500 0.500 0.000
Pt 0.000 0.000 0.000
Pt 0.500 0.000 0.622
Pt 0.000 0.500 0.378

The calculation puts the density of states at the Fermi level at 10.04 states/eV per cell. Its size of the total moment is 0.01 μB per formula unit. The value obtained for the raw formation energy is -10.47 eV/f.u.

---

Record 6
This record from Alexandria describes a geometry-optimized Ce2Be4Si3Pt structure. The functional is PBE-GGA.

Lattice parameters (Å, degrees): 3.955 3.955 9.604 90.00 90.00 90.00
Last column: magnetic moment on the atom in μB.
Sites, in units of the cell vectors:
Ce 0.500 0.000 0.244  0.34
Ce 0.000 0.500 0.756  0.34
Be 0.500 0.500 0.000  0.00
Be 0.000 0.000 0.000  0.00
Be 0.500 0.000 0.631  0.00
Be 0.000 0.500 0.369  0.00
Si 0.000 0.000 0.500  -0.01
Si 0.500 0.000 0.871  -0.01
Si 0.000 0.500 0.129  -0.01
Pt 0.500 0.500 0.500  -0.01

The calculation puts the density of states at the Fermi level at 8.62 states/eV per cell. Its size of the total moment is 0.76 μB per formula unit. The value obtained for the raw formation energy is -5.51 eV/f.u.

---

Record 7
This record from Alexandria describes a geometry-optimized Ce2Be4SiPt3 structure. The functional is PBE-GGA.

Lattice parameters (Å, degrees): 3.979 3.979 9.874 90.00 90.00 90.00
Last column: magnetic moment on the atom in μB.
Sites, in units of the cell vectors:
Ce 0.500 0.000 0.250  0.34
Ce 0.000 0.500 0.750  0.34
Be 0.500 0.500 0.000  0.02
Be 0.000 0.000 0.000  0.01
Be 0.500 0.000 0.630  0.00
Be 0.000 0.500 0.370  0.00
Si 0.500 0.500 0.500  -0.01
Pt 0.000 0.000 0.500  0.00
Pt 0.500 0.000 0.874  0.01
Pt 0.000 0.500 0.126  0.01

The calculation puts the density of states at the Fermi level at 11.42 states/eV per cell. Its size of the total moment is 0.90 μB per formula unit. The value obtained for the raw formation energy is -7.14 eV/f.u.

---

Record 8
This record from Alexandria describes a geometry-optimized Ce2Be3SnPt4 structure. The functional is PBE-GGA.

Lattice parameters (Å, degrees): 4.075 4.075 10.483 90.00 90.00 90.00
Last column: magnetic moment on the atom in μB.
Sites, in units of the cell vectors:
Ce 0.500 0.000 0.237  0.40
Ce 0.000 0.500 0.763  0.40
Be 0.000 0.000 0.500  0.01
Be 0.500 0.000 0.888  0.01
Be 0.000 0.500 0.112  0.01
Sn 0.500 0.500 0.500  0.00
Pt 0.500 0.500 0.000  0.00
Pt 0.000 0.000 0.000  0.00
Pt 0.500 0.000 0.667  0.00
Pt 0.000 0.500 0.333  0.00

The calculation puts the density of states at the Fermi level at 11.90 states/eV per cell. Its size of the total moment is 1.01 μB per formula unit. The calculation puts the calculated formation energy at -798 meV per atom.

---

Record 9
This record from Alexandria describes a geometry-optimized Ce2TmBe2Pt7 structure. The functional is PBE-GGA.

Lattice parameters (Å, degrees): 4.023 4.023 13.290 83.81 83.81 89.50
Last column: magnetic moment on the atom in μB.
Sites, in units of the cell vectors:
Ce 0.887 0.887 0.347  0.43
Ce 0.113 0.113 0.653  0.43
Tm 0.000 0.000 0.000  0.01
Be 0.589 0.589 0.749  0.00
Be 0.411 0.411 0.251  0.00
Pt 0.500 0.500 0.000  -0.01
Pt 0.360 0.360 0.425  -0.01
Pt 0.640 0.640 0.575  -0.01
Pt 0.942 0.443 0.164  0.00
Pt 0.443 0.942 0.164  0.00
Pt 0.557 0.058 0.836  0.00
Pt 0.058 0.557 0.836  0.00

The calculation puts the density of states at the Fermi level at 11.33 states/eV per cell. Its size of the total moment is 1.02 μB per formula unit. The calculation puts the calculated formation energy at -1020 meV per atom.

---

Record 10
This record from Alexandria describes a geometry-optimized CeBe2ZnPt5 structure. The functional is PBE-GGA.

Lattice parameters (Å, degrees): 4.073 4.073 9.282 90.00 90.00 90.00
Last column: magnetic moment on the atom in μB.
Sites, in units of the cell vectors:
Ce 0.000 0.000 0.500  0.70
Be 0.500 0.500 0.265  0.00
Be 0.500 0.500 0.735  0.00
Zn 0.000 0.000 0.000  0.00
Pt 0.000 0.500 0.172  0.00
Pt 0.500 0.000 0.172  0.00
Pt 0.000 0.500 0.828  0.00
Pt 0.500 0.000 0.828  0.00
Pt 0.500 0.500 0.500  -0.02

The calculation puts the density of states at the Fermi level at 7.16 states/eV per cell. Its size of the total moment is 0.76 μB per formula unit. The calculation puts the calculated formation energy at -548 meV per atom.

---

Record 11
This record from Alexandria describes a geometry-optimized CeBe2ZnPt4 structure. The functional is PBE-GGA.

Lattice parameters (Å, degrees): 4.084 4.084 9.043 76.95 76.95 60.00
Sites, in units of the cell vectors:
Ce 0.000 0.000 0.000
Be 0.763 0.763 0.711
Be 0.237 0.237 0.289
Zn 0.500 0.500 0.500
Pt 0.401 0.401 0.797
Pt 0.872 0.872 0.385
Pt 0.128 0.128 0.615
Pt 0.599 0.599 0.203

The calculation puts the density of states at the Fermi level at 5.62 states/eV per cell. Its size of the total moment is 0.00 μB per formula unit. The calculation puts the calculated formation energy at -691 meV per atom.

---

Record 12
This record from Alexandria describes a geometry-optimized Ce2BeZn2Pt4 structure. The functional is PBE-GGA.

Lattice parameters (Å, degrees): 6.027 6.027 6.027 98.39 115.28 115.28
Last column: magnetic moment on the atom in μB.
Sites, in units of the cell vectors:
Ce 0.500 0.750 0.250  0.49
Ce 0.500 0.250 0.750  0.49
Be 0.000 0.000 0.000  -0.01
Zn 0.000 0.685 0.685  0.00
Zn 0.000 0.315 0.315  0.00
Pt 0.000 0.750 0.250  -0.02
Pt 0.500 0.750 0.750  -0.02
Pt 0.000 0.250 0.750  -0.02
Pt 0.500 0.250 0.250  -0.02

The calculation puts the density of states at the Fermi level at 11.23 states/eV per cell. Its size of the total moment is 1.01 μB per formula unit. The calculation puts the calculated formation energy at -713 meV per atom.

---

Record 13
This record from Alexandria describes a geometry-optimized Ce3Be2ZnPt9 structure. The functional is PBE-GGA.

Lattice parameters (Å, degrees): 5.755 5.755 9.676 90.00 90.00 120.00
Last column: magnetic moment on the atom in μB.
Sites, in units of the cell vectors:
Ce 0.333 0.667 0.629  0.58
Ce 0.000 0.000 0.000  0.42
Ce 0.667 0.333 0.371  0.58
Be 0.333 0.667 0.153  0.00
Be 0.667 0.333 0.847  0.00
Zn 0.000 0.000 0.500  0.00
Pt 0.835 0.165 0.700  -0.02
Pt 0.835 0.670 0.700  -0.02
Pt 0.330 0.165 0.700  -0.02
Pt 0.670 0.835 0.300  -0.02
Pt 0.165 0.330 0.300  -0.02
Pt 0.165 0.835 0.300  -0.02
Pt 0.500 0.000 0.000  -0.02
Pt 0.000 0.500 0.000  -0.02
Pt 0.500 0.500 0.000  -0.02

The calculation puts the density of states at the Fermi level at 17.03 states/eV per cell. Its size of the total moment is 1.56 μB per formula unit. The calculation puts the calculated formation energy at -780 meV per atom.

---

Record 14
This record from Alexandria describes a geometry-optimized CeBeZnPt3 structure. The functional is PBE-GGA.

Lattice parameters (Å, degrees): 5.533 6.961 6.720 121.20 90.00 90.00
Last column: magnetic moment on the atom in μB.
Sites, in units of the cell vectors:
Ce 0.750 0.295 0.591  0.60
Ce 0.250 0.705 0.409  0.60
Be 0.250 0.392 0.783  0.00
Be 0.750 0.608 0.217  0.00
Zn 0.250 0.973 0.946  0.01
Zn 0.750 0.027 0.054  0.01
Pt 0.250 0.199 0.398  -0.03
Pt 0.000 0.300 0.000  0.00
Pt 0.500 0.700 0.000  0.00
Pt 0.500 0.300 0.000  0.00
Pt 0.000 0.700 0.000  0.00
Pt 0.750 0.801 0.602  -0.03

The calculation puts the density of states at the Fermi level at 13.91 states/eV per cell. Its size of the total moment is 0.70 μB per formula unit. The calculation puts the calculated formation energy at -621 meV per atom.

---

Record 15
This record from Alexandria describes a geometry-optimized Ce2Be3ZnPt4 structure. The functional is PBE-GGA.

Lattice parameters (Å, degrees): 4.040 4.040 10.165 90.00 90.00 90.00
Last column: magnetic moment on the atom in μB.
Sites, in units of the cell vectors:
Ce 0.500 0.000 0.245  0.58
Ce 0.000 0.500 0.755  0.58
Be 0.000 0.000 0.500  0.02
Be 0.500 0.000 0.884  0.01
Be 0.000 0.500 0.116  0.01
Zn 0.500 0.500 0.500  0.01
Pt 0.500 0.500 0.000  0.00
Pt 0.000 0.000 0.000  0.00
Pt 0.500 0.000 0.651  0.01
Pt 0.000 0.500 0.349  0.01

The calculation puts the density of states at the Fermi level at 12.04 states/eV per cell. Its size of the total moment is 1.51 μB per formula unit. The calculation puts the calculated formation energy at -808 meV per atom.

---

Record 16
This record from Alexandria describes a geometry-optimized Ce2PuBe structure. The functional is PBE-GGA.

Lattice parameters (Å, degrees): 3.588 3.588 9.165 78.71 78.71 60.00
Last column: magnetic moment on the atom in μB.
Sites, in units of the cell vectors:
Be 0.000 0.000 0.000  0.00
Ce 0.108 0.108 0.675  -0.02
Ce 0.892 0.892 0.325  -0.02
Pu 0.500 0.500 0.500  1.48

The calculation puts the density of states at the Fermi level at 8.87 states/eV per cell. Its size of the total moment is 1.38 μB per formula unit. The calculation puts the energy relative to the lowest polymorph listed for this composition at 0.801 eV/atom. The calculation puts the calculated formation energy at 977 meV per atom.

---

Record 17
This record from Alexandria describes a geometry-optimized CePuBe structure. The functional is PBE-GGA.

Lattice parameters (Å, degrees): 3.434 7.228 8.990 90.00 90.00 90.00
Sites, in units of the cell vectors:
Pu 0.750 0.432 0.933
Pu 0.250 0.068 0.433
Pu 0.250 0.568 0.067
Pu 0.750 0.932 0.567
Ce 0.750 0.391 0.596
Ce 0.250 0.109 0.096
Ce 0.250 0.609 0.404
Ce 0.750 0.891 0.904
Be 0.750 0.345 0.262
Be 0.250 0.155 0.762
Be 0.250 0.655 0.738
Be 0.750 0.845 0.238

The calculation puts the density of states at the Fermi level at 23.88 states/eV per cell. Its size of the total moment is 0.03 μB per formula unit. The calculation puts the calculated formation energy at 268 meV per atom.

---

Record 18
This record from Alexandria describes a geometry-optimized Ce2PuBe structure. The functional is PBE-GGA.

Lattice parameters (Å, degrees): 3.375 3.375 7.973 90.00 90.00 90.00
Last column: magnetic moment on the atom in μB.
Sites, in units of the cell vectors:
Be 0.500 0.500 0.000  -0.01
Ce 0.000 0.000 0.788  -0.07
Ce 0.000 0.000 0.212  -0.07
Pu 0.500 0.500 0.500  5.13

The calculation puts the density of states at the Fermi level at 9.73 states/eV per cell. Its size of the total moment is 5.12 μB per formula unit. The calculation puts the energy relative to the lowest polymorph listed for this composition at 0.000 eV/atom. The calculation puts the calculated formation energy at 176 meV per atom.

---

Record 19
This record from Alexandria describes a geometry-optimized RbCeBeS4 structure. The functional is PBE-GGA.

Lattice parameters (Å, degrees): 6.856 5.416 9.436 90.00 103.62 90.00
Last column: magnetic moment on the atom in μB.
Sites, in units of the cell vectors:
Rb 0.748 0.750 0.963  0.00
Rb 0.252 0.250 0.037  0.00
Ce 0.736 0.750 0.443  0.34
Ce 0.264 0.250 0.557  0.34
Be 0.259 0.750 0.333  0.00
Be 0.741 0.250 0.667  0.00
S 0.987 0.505 0.701  -0.01
S 0.013 0.005 0.299  -0.01
S 0.013 0.495 0.299  -0.01
S 0.987 0.995 0.701  -0.01
S 0.449 0.750 0.196  -0.01
S 0.551 0.250 0.804  -0.01
S 0.395 0.750 0.556  -0.02
S 0.605 0.250 0.444  -0.02

The calculation puts the density of states at the Fermi level at 5.60 states/eV per cell. Its size of the total moment is 0.29 μB per formula unit. The value obtained for the raw formation energy is -9.24 eV/f.u.

---

Record 20
This record from Alexandria describes a geometry-optimized RbCeBeS3 structure. The functional is PBE-GGA.

Lattice parameters (Å, degrees): 3.998 9.352 9.283 107.51 90.00 90.00
Last column: magnetic moment on the atom in μB.
Sites, in units of the cell vectors:
Rb 0.250 0.195 0.230  0.00
Rb 0.750 0.805 0.770  0.00
Ce 0.250 0.665 0.158  0.93
Ce 0.750 0.335 0.842  0.93
Be 0.250 0.073 0.604  0.00
Be 0.750 0.927 0.396  0.00
S 0.750 0.882 0.165  -0.01
S 0.250 0.118 0.835  -0.01
S 0.250 0.846 0.474  0.00
S 0.750 0.154 0.526  0.00
S 0.750 0.455 0.158  -0.02
S 0.250 0.545 0.842  -0.02

The calculation puts the density of states at the Fermi level at 12.28 states/eV per cell. Its size of the total moment is 1.00 μB per formula unit. The value obtained for the raw formation energy is -8.82 eV/f.u.